[1]
RbBeO: relaxed, PBE.

crystal system: monoclinic
total DFT energy (no corrections): -53.9 eV per cell

Cell and atoms, written as CIF:
```
data_RbBeO
_symmetry_space_group_name_H-M 'C 1 2/m 1'
_symmetry_Int_Tables_number 12
_cell_length_a 8.3799
_cell_length_b 3.0748
_cell_length_c 9.9885
_cell_angle_alpha 90.00
_cell_angle_beta 94.92
_cell_angle_gamma 90.00
loop_
_symmetry_equiv_pos_as_xyz
'x,y,z'
'-x,-y,-z'
'-x,y,-z'
'x,-y,z'
'x+1/2,y+1/2,z'
'-x+1/2,-y+1/2,-z'
'-x+1/2,y+1/2,-z'
'x+1/2,-y+1/2,z'
loop_
_atom_site_label
_atom_site_fract_x
_atom_site_fract_y
_atom_site_fract_z
Rb1 0.0962 0.0000 0.2655
Be1 0.1572 0.5000 0.9702
O1 0.2010 0.0000 0.9050
```

=====

[2]
SiIr2Au: relaxed, PBE.

crystal system: trigonal
total DFT energy (no corrections): -78.4 eV per cell

Cell and atoms, written as CIF:
```
data_SiIr2Au
_symmetry_space_group_name_H-M 'R 3 m'
_symmetry_Int_Tables_number 160
_symmetry_space_group_name_Hall 'R 3 -2"'
_cell_length_a 2.8512
_cell_length_b 2.8512
_cell_length_c 25.7121
_cell_angle_alpha 90.00
_cell_angle_beta 90.00
_cell_angle_gamma 120.00
loop_
_atom_site_label
_atom_site_fract_x
_atom_site_fract_y
_atom_site_fract_z
Si1 0.0000 0.0000 0.0000
Ir1 0.0000 0.0000 0.2630
Ir2 0.0000 0.0000 0.5085
Au1 0.0000 0.0000 0.7480
```

=====

[3]
TiTeCl2: relaxed, PBE.

relative energy among the computed polymorphs: 602.7 meV per atom
crystal system: tetragonal

Cell and atoms, written as CIF:
```
data_TiTeCl2
_symmetry_space_group_name_H-M 'I -4 2 d'
_symmetry_Int_Tables_number 122
_symmetry_space_group_name_Hall 'I -4 2bw'
_cell_length_a 7.1739
_cell_length_b 7.1739
_cell_length_c 9.7586
_cell_angle_alpha 90.00
_cell_angle_beta 90.00
_cell_angle_gamma 90.00
loop_
_atom_site_label
_atom_site_fract_x
_atom_site_fract_y
_atom_site_fract_z
Ti1 0.0000 0.0000 0.0000
Te1 0.0000 0.0000 0.5000
Cl1 0.0987 0.2500 0.1250
```

=====

[4]
Li2Tb2HoGa2: relaxed, PBE.

crystal system: trigonal
ΔH_f (0 K): -0.278 eV/atom

Cell and atoms, written as CIF:
```
data_Li2Tb2HoGa2
_symmetry_space_group_name_H-M 'R -3 m'
_symmetry_Int_Tables_number 166
_symmetry_space_group_name_Hall '-R 3 2"'
_cell_length_a 4.5861
_cell_length_b 4.5861
_cell_length_c 26.4175
_cell_angle_alpha 90.00
_cell_angle_beta 90.00
_cell_angle_gamma 120.00
loop_
_atom_site_label
_atom_site_fract_x
_atom_site_fract_y
_atom_site_fract_z
Li1 0.0000 0.0000 0.1058
Tb1 0.0000 0.0000 0.3744
Ho1 0.0000 0.0000 0.5000
Ga1 0.0000 0.0000 0.2369
```

=====

For each record above, in turn, the calculated mass density values are 2.862 16.773 3.258 6.586 g/cm3.